Compound: NdErNb
Source: OQMD
Functional: PBE-GGA
Structure: relaxed

POSCAR file:
```
NdErNb
1.0
-0.213 -3.026 4.104
-4.518 -1.552 1.794
-1.404 -4.881 -0.499
Er Nb Nd
1 1 1
Direct
0.500 0.500 0.500
0.250 0.250 0.250
0.000 0.000 0.000
```

Values from the calculation:
Calculated formation energy   0.810 eV per atom
E above lowest polymorph   0.0 kJ/mol of atoms
Total energy   -5.664 eV/atom
Crystal system   cubic

Compound: ErNpNb
Source: OQMD
Functional: PBE-GGA
Structure: relaxed

POSCAR file:
```
ErNpNb
1.0
0.000 3.383 3.383
3.383 0.000 3.383
3.383 3.383 0.000
Er Nb Np
1 1 1
Direct
0.500 0.500 0.500
0.250 0.250 0.250
0.000 0.000 0.000
```

Values from the calculation:
Calculated formation energy   0.954 eV per atom
E above lowest polymorph   0.0 kJ/mol of atoms
Total energy   -8.188 eV/atom
Crystal system   cubic

Compound: ErNb2O4
Source: OQMD
Functional: PBE-GGA
Structure: relaxed

POSCAR file:
```
ErNb2O4
1.0
4.527 -4.528 0.000
-4.527 0.000 -4.528
4.527 4.528 0.000
Er Nb O
2 4 8
Direct
0.000 0.000 0.000
0.750 0.500 0.250
0.375 0.750 0.125
0.375 0.250 0.625
0.375 0.750 0.625
0.875 0.250 0.625
0.618 0.237 0.382
0.145 0.763 0.382
0.618 0.763 0.382
0.132 0.263 0.395
0.618 0.237 0.855
0.132 0.737 0.868
0.605 0.737 0.868
0.132 0.263 0.868
```

Values from the calculation:
Total energy   -8.588 eV/atom
Crystal system   cubic

Compound: Rb2ErNbO4
Source: OQMD
Functional: PBE-GGA
Structure: relaxed

POSCAR file:
```
Rb2ErNbO4
1.0
3.330 0.000 0.000
-1.665 2.884 0.000
0.000 0.000 12.832
Er Nb O Rb
1 1 4 2
Direct
0.000 0.000 0.000
0.000 0.000 0.500
0.333 0.667 0.091
0.333 0.667 0.414
0.667 0.333 0.586
0.667 0.333 0.909
0.667 0.333 0.255
0.333 0.667 0.745
```

Values from the calculation:
Total energy   -6.735 eV/atom
Crystal system   trigonal

Compound: ErNb2Si2P
Source: OQMD
Functional: PBE-GGA
Structure: relaxed

POSCAR file:
```
ErNb2Si2P
1.0
3.909 0.000 0.000
0.000 3.909 0.000
0.000 0.000 7.799
Er Nb P Si
1 2 1 2
Direct
0.000 0.000 0.345
0.500 0.000 0.985
0.000 0.500 0.985
0.500 0.500 0.734
0.500 0.500 0.226
0.000 0.000 0.726
```

Values from the calculation:
Total energy   -7.142 eV/atom
Crystal system   tetragonal

Compound: ErPaNb
Source: OQMD
Functional: PBE-GGA
Structure: relaxed

POSCAR file:
```
ErPaNb
1.0
0.000 3.435 3.435
3.435 0.000 3.435
3.435 3.435 0.000
Er Nb Pa
1 1 1
Direct
0.250 0.250 0.250
0.000 0.000 0.000
0.750 0.750 0.750
```

Values from the calculation:
Calculated formation energy   0.668 eV per atom
E above lowest polymorph   0.0 kJ/mol of atoms
Total energy   -7.383 eV/atom
Crystal system   cubic

Compound: ErNbPd
Source: OQMD
Functional: PBE-GGA
Structure: relaxed

POSCAR file:
```
ErNbPd
1.0
0.000 3.268 3.268
3.268 0.000 3.268
3.268 3.268 0.000
Er Nb Pd
1 1 1
Direct
0.000 0.000 0.000
0.250 0.250 0.250
0.750 0.750 0.750
```

Values from the calculation:
Calculated formation energy   0.800 eV per atom
E above lowest polymorph   63.9 kJ/mol of atoms
Total energy   -5.811 eV/atom
Crystal system   cubic

Compound: ErNbPd
Source: OQMD
Functional: PBE-GGA
Structure: relaxed

POSCAR file:
```
ErNbPd
1.0
0.000 3.250 3.250
3.250 0.000 3.250
3.250 3.250 0.000
Er Nb Pd
1 1 1
Direct
0.250 0.250 0.250
0.750 0.750 0.750
0.000 0.000 0.000
```

Values from the calculation:
Calculated formation energy   0.138 eV per atom
E above lowest polymorph   0.0 kJ/mol of atoms
Total energy   -6.473 eV/atom
Crystal system   cubic

Compound: ErNbPd3
Source: OQMD
Functional: PBE-GGA
Structure: relaxed

POSCAR file:
```
ErNbPd3
1.0
4.014 -6.956 0.000
4.014 6.956 0.000
0.000 0.000 6.381
Er Nb Pd
2 2 6
Direct
0.000 0.000 0.000
0.000 0.000 0.500
0.667 0.333 0.250
0.333 0.667 0.750
0.842 0.158 0.250
0.317 0.158 0.250
0.842 0.683 0.250
0.158 0.317 0.750
0.683 0.842 0.750
0.158 0.842 0.750
```

Values from the calculation:
Calculated formation energy   1.309 eV per atom
Total energy   -4.727 eV/atom
Crystal system   hexagonal

Compound: PmErNb
Source: OQMD
Functional: PBE-GGA
Structure: relaxed

POSCAR file:
```
PmErNb
1.0
3.751 -3.311 -0.920
3.339 -1.143 3.663
-0.080 -4.601 2.169
Er Nb Pm
1 1 1
Direct
0.500 0.500 0.500
0.250 0.250 0.250
0.000 0.000 0.000
```

Values from the calculation:
Calculated formation energy   0.806 eV per atom
E above lowest polymorph   0.0 kJ/mol of atoms
Total energy   -5.662 eV/atom
Crystal system   cubic

Compound: ErNbPt
Source: OQMD
Functional: PBE-GGA
Structure: relaxed

POSCAR file:
```
ErNbPt
1.0
2.311 1.946 3.471
-2.166 0.989 3.938
0.915 -2.426 3.801
Er Nb Pt
1 1 1
Direct
0.250 0.250 0.250
0.750 0.750 0.750
0.000 0.000 0.000
```

Values from the calculation:
Calculated formation energy   -0.254 eV per atom
E above lowest polymorph   0.0 kJ/mol of atoms
Total energy   -7.159 eV/atom
Crystal system   cubic

Compound: ErNbPt
Source: OQMD
Functional: PBE-GGA
Structure: relaxed

POSCAR file:
```
ErNbPt
1.0
1.352 -4.400 0.091
0.499 -2.172 4.029
-2.973 -3.297 1.222
Er Nb Pt
1 1 1
Direct
0.000 0.000 0.000
0.250 0.250 0.250
0.750 0.750 0.750
```

Values from the calculation:
Calculated formation energy   0.568 eV per atom
E above lowest polymorph   79.4 kJ/mol of atoms
Total energy   -6.336 eV/atom
Crystal system   cubic

Compound: Rb2ErNbS4
Source: OQMD
Functional: PBE-GGA
Structure: relaxed

POSCAR file:
```
Rb2ErNbS4
1.0
-1.608 2.916 1.924
-1.674 -1.357 -3.186
-7.958 -9.941 8.416
Er Nb Rb S
1 1 2 4
Direct
0.000 0.000 0.500
0.000 0.000 0.000
0.667 0.333 0.243
0.333 0.667 0.757
0.333 0.667 0.089
0.333 0.667 0.400
0.667 0.333 0.600
0.667 0.333 0.911
```

Values from the calculation:
Total energy   -5.513 eV/atom
Crystal system   trigonal

Compound: ErNbRe
Source: OQMD
Functional: PBE-GGA
Structure: relaxed

POSCAR file:
```
ErNbRe
1.0
0.000 3.199 3.199
3.199 0.000 3.199
3.199 3.199 0.000
Er Nb Re
1 1 1
Direct
0.250 0.250 0.250
0.000 0.000 0.000
0.750 0.750 0.750
```

Values from the calculation:
Calculated formation energy   0.708 eV per atom
Total energy   -8.319 eV/atom
Crystal system   cubic

Compound: Er2NbSb3
Source: OQMD
Functional: PBE-GGA
Structure: relaxed

POSCAR file:
```
Er2NbSb3
1.0
-2.632 -3.277 -0.230
2.922 0.144 3.026
-6.671 4.922 6.210
Er Nb Sb
2 1 3
Direct
0.667 0.333 0.322
0.333 0.667 0.678
0.000 0.000 0.000
0.333 0.667 0.147
0.000 0.000 0.500
0.667 0.333 0.853
```

Values from the calculation:
Total energy   -5.904 eV/atom
Crystal system   trigonal

Compound: ErNb2Sb3
Source: OQMD
Functional: PBE-GGA
Structure: relaxed

POSCAR file:
```
ErNb2Sb3
1.0
-2.682 -1.729 -2.479
3.947 -0.725 -0.471
-0.720 -8.101 6.427
Er Nb Sb
1 2 3
Direct
0.000 0.000 0.500
0.333 0.667 0.158
0.667 0.333 0.842
0.000 0.000 0.000
0.667 0.333 0.314
0.333 0.667 0.686
```

Values from the calculation:
Total energy   -6.351 eV/atom
Crystal system   trigonal

Compound: ErNb2Si2Sb
Source: OQMD
Functional: PBE-GGA
Structure: relaxed

POSCAR file:
```
ErNb2Si2Sb
1.0
4.006 0.000 0.000
0.000 4.006 0.000
0.000 0.000 7.748
Er Nb Sb Si
1 2 1 2
Direct
0.000 0.000 0.350
0.500 0.000 0.994
0.000 0.500 0.994
0.500 0.500 0.689
0.500 0.500 0.230
0.000 0.000 0.743
```

Values from the calculation:
Total energy   -6.913 eV/atom
Crystal system   tetragonal

Compound: Er2Nb6Se
Source: OQMD
Functional: PBE-GGA
Structure: relaxed

POSCAR file:
```
Er2Nb6Se
1.0
-5.677 0.156 1.331
-3.894 -4.178 1.188
2.406 0.748 7.322
Er Nb Se
2 6 1
Direct
0.281 0.281 0.195
0.719 0.719 0.805
0.996 0.996 0.185
0.576 0.576 0.364
0.862 0.862 0.461
0.138 0.138 0.539
0.424 0.424 0.636
0.004 0.004 0.815
0.500 0.500 0.000
```

Values from the calculation:
Total energy   -8.130 eV/atom
Crystal system   monoclinic

Compound: ErNbSi
Source: OQMD
Functional: PBE-GGA
Structure: relaxed

POSCAR file:
```
ErNbSi
1.0
0.000 3.349 3.349
3.349 0.000 3.349
3.349 3.349 0.000
Er Nb Si
1 1 1
Direct
0.000 0.000 0.000
0.250 0.250 0.250
0.750 0.750 0.750
```

Values from the calculation:
Total energy   -5.768 eV/atom
Crystal system   cubic

Compound: ErNbSi
Source: OQMD
Functional: PBE-GGA
Structure: relaxed

POSCAR file:
```
ErNbSi
1.0
0.000 3.200 3.200
3.200 0.000 3.200
3.200 3.200 0.000
Er Nb Si
1 1 1
Direct
0.250 0.250 0.250
0.750 0.750 0.750
0.000 0.000 0.000
```

Values from the calculation:
Total energy   -6.800 eV/atom
Crystal system   cubic

Compound: ErTmNb2Si2
Source: OQMD
Functional: PBE-GGA
Structure: relaxed

POSCAR file:
```
ErTmNb2Si2
1.0
-0.916 2.335 -3.101
-3.828 -1.073 0.323
-1.240 5.869 4.785
Er Nb Si Tm
1 2 2 1
Direct
0.000 0.000 0.354
0.500 0.000 0.000
0.000 0.500 0.000
0.500 0.500 0.244
0.000 0.000 0.756
0.500 0.500 0.647
```

Values from the calculation:
Total energy   -7.316 eV/atom
Crystal system   tetragonal

Compound: YErNb2Si2
Source: OQMD
Functional: PBE-GGA
Structure: relaxed

POSCAR file:
```
YErNb2Si2
1.0
-2.029 -3.253 1.139
2.890 -2.326 -1.495
3.635 0.125 6.830
Er Nb Si Y
1 2 2 1
Direct
0.000 0.000 0.352
0.500 0.000 0.001
0.000 0.500 0.001
0.500 0.500 0.242
0.000 0.000 0.759
0.500 0.500 0.645
```

Values from the calculation:
Total energy   -7.653 eV/atom
Crystal system   tetragonal

Compound: TbErNb2Sn2
Source: OQMD
Functional: PBE-GGA
Structure: relaxed

POSCAR file:
```
TbErNb2Sn2
1.0
-1.053 1.782 -3.647
-3.851 -1.631 0.315
-2.489 6.643 3.965
Er Nb Sn Tb
1 2 2 1
Direct
0.000 0.000 0.349
0.500 0.000 0.001
0.000 0.500 0.001
0.500 0.500 0.254
0.000 0.000 0.747
0.500 0.500 0.648
```

Values from the calculation:
Total energy   -6.666 eV/atom
Crystal system   tetragonal

Compound: ErTmNb2Sn2
Source: OQMD
Functional: PBE-GGA
Structure: relaxed

POSCAR file:
```
ErTmNb2Sn2
1.0
4.190 0.000 0.000
0.000 4.190 0.000
0.000 0.000 8.014
Er Nb Sn Tm
1 2 2 1
Direct
0.000 0.000 0.347
0.500 0.000 0.000
0.000 0.500 0.000
0.500 0.500 0.259
0.000 0.000 0.741
0.500 0.500 0.653
```

Values from the calculation:
Total energy   -6.634 eV/atom
Crystal system   tetragonal

Compound: ErTaNb
Source: OQMD
Functional: PBE-GGA
Structure: relaxed

POSCAR file:
```
ErTaNb
1.0
2.331 1.346 3.807
-2.331 1.346 3.807
0.000 -2.692 3.807
Er Nb Ta
1 1 1
Direct
0.750 0.750 0.750
0.000 0.000 0.000
0.250 0.250 0.250
```

Values from the calculation:
Calculated formation energy   0.877 eV per atom
E above lowest polymorph   0.0 kJ/mol of atoms
Total energy   -7.960 eV/atom
Crystal system   cubic

Compound: ErThNb
Source: OQMD
Functional: PBE-GGA
Structure: relaxed

POSCAR file:
```
ErThNb
1.0
0.000 3.511 3.511
3.511 0.000 3.511
3.511 3.511 0.000
Er Nb Th
1 1 1
Direct
0.250 0.250 0.250
0.000 0.000 0.000
0.750 0.750 0.750
```

Values from the calculation:
Calculated formation energy   0.603 eV per atom
E above lowest polymorph   0.0 kJ/mol of atoms
Total energy   -6.754 eV/atom
Crystal system   cubic

Compound: ErZrNb
Source: OQMD
Functional: PBE-GGA
Structure: relaxed

POSCAR file:
```
ErZrNb
1.0
-1.306 1.262 4.447
-4.012 2.550 0.693
-3.826 -2.054 2.053
Er Nb Zr
1 1 1
Direct
0.000 0.000 0.000
0.250 0.250 0.250
0.500 0.500 0.500
```

Values from the calculation:
Calculated formation energy   0.758 eV per atom
E above lowest polymorph   0.0 kJ/mol of atoms
Total energy   -6.977 eV/atom
Crystal system   cubic

Compound: NdEr
Source: OQMD
Functional: PBE-GGA
Structure: relaxed

POSCAR file:
```
NdEr
1.0
-3.647 -1.240 2.455
-3.204 -2.672 -1.860
-0.453 -4.328 1.390
Er Nd
1 1
Direct
0.000 0.000 0.000
0.500 0.500 0.500
```

Values from the calculation:
Calculated formation energy   0.693 eV per atom
E above lowest polymorph   63.5 kJ/mol of atoms
Total energy   -3.970 eV/atom
Crystal system   cubic

Compound: NdEr
Source: OQMD
Functional: PBE-GGA
Structure: relaxed

POSCAR file:
```
NdEr
1.0
3.638 0.000 0.000
-1.819 3.151 0.000
0.000 0.000 5.726
Er Nd
1 1
Direct
0.667 0.333 0.750
0.333 0.667 0.250
```

Values from the calculation:
Calculated formation energy   0.034 eV per atom
E above lowest polymorph   0.0 kJ/mol of atoms
Total energy   -4.629 eV/atom
Crystal system   hexagonal